Ba2MoOs3O12 | PBE with a Hubbard U | optimized geometry

Cell lengths 7.1545, 7.1545, 18.0574 Å; angles 90.00, 90.00, 120.00 degrees
Space group R-3m (No. 166, hexagonal axes)
Asymmetric unit:
Ba: 0.0000 0.0000 0.1171 (multiplicity 6)
Mo: 0.0000 0.0000 0.5000 (multiplicity 3)
Os: 0.0000 0.5000 0.0000 (multiplicity 9)
O: 0.0660 0.5330 0.3552 (multiplicity 18)
O: 0.0692 0.5346 0.1076 (multiplicity 18)

For the magnetic moment, the calculation gives 7.03 μB/cell. As for the density: 7.05 g/cm³. As for the total energy: -7.280 eV per atom.


BaMoOs2O8 | PBE with a Hubbard U | optimized geometry

Cell lengths 5.5434, 5.5434, 7.7250 Å; angles 90.00, 90.00, 120.00 degrees
Space group P-3 (No. 147)
Asymmetric unit:
Ba: 0.0000 0.0000 0.0000 (multiplicity 1)
Mo: 0.0000 0.0000 0.5000 (multiplicity 1)
Os: 0.3333 0.6667 0.7249 (multiplicity 2)
O: 0.0464 0.3111 0.6820 (multiplicity 6)
O: 0.3333 0.6667 0.9611 (multiplicity 2)

For the magnetic moment, the calculation gives 6.03 μB/cell. As for the density: 5.99 g/cm³. As for the total energy: -7.171 eV per atom.


BaMoP2O | PBE with a Hubbard U | optimized geometry

Cell lengths 5.515, 5.515, 4.302 Å; angles 90.00, 90.00, 90.00 degrees
Space group P4/mmm (No. 123)
Asymmetric unit:
Ba: 0.000 0.000 0.000 (multiplicity 1)
Mo: 0.500 0.500 0.500 (multiplicity 1)
P: 0.000 0.500 0.000 (multiplicity 2)
O: 0.000 0.000 0.500 (multiplicity 1)

The energy above the most stable polymorph in this dataset is 2047 meV/atom. For the magnetic moment, the calculation gives 1.39 μB/cell. As for the density: 3.95 g/cm³.


BaMoPO2 | PBE with a Hubbard U | optimized geometry

Cell lengths 4.224, 4.224, 4.924 Å; angles 90.00, 90.00, 90.00 degrees
Space group P4/mmm (No. 123)
Asymmetric unit:
Ba: 0.000 0.000 0.000 (multiplicity 1)
Mo: 0.500 0.500 0.500 (multiplicity 1)
P: 0.500 0.500 0.000 (multiplicity 1)
O: 0.000 0.500 0.500 (multiplicity 2)

The energy above the most stable polymorph in this dataset is 0 meV/atom. For the magnetic moment, the calculation gives 1.10 μB/cell. As for the density: 5.60 g/cm³.